[1]
CsTbPr | PBE | relaxed

Cell and atoms, written as POSCAR:
```
CsTbPr
1.0
2.8013 1.6174 4.5746
-2.8013 1.6174 4.5746
0.0000 -3.2347 4.5746
Cs Pr Tb
1 1 1
Direct
0.0000 0.0000 0.0000
0.7500 0.7500 0.7500
0.2500 0.2500 0.2500
```

## Properties
Symmetry ... F-43m (216)
Calculated volume ... 124 Å³/cell
Uncorrected energy ... -2.24 eV per atom



[2]
Tm3Al2CdCuAu2 | PBE | relaxed

Cell and atoms, written as POSCAR:
```
Tm3Al2CdCuAu2
1.0
3.9885 0.0000 0.0000
0.0000 6.2168 3.6878
0.0000 -6.2168 3.6878
Al Au Cd Cu Tm
2 2 1 1 3
Direct
0.5000 0.2372 0.0047
0.5000 0.0047 0.2372
0.5000 0.6651 0.3188
0.5000 0.3188 0.6651
0.5000 0.7609 0.7609
0.0000 0.0220 0.0220
0.0000 0.4058 0.4058
0.0000 0.9969 0.5887
0.0000 0.5887 0.9969
```

## Properties
Symmetry ... Amm2 (38)
Calculated volume ... 183 Å³/cell
Uncorrected energy ... -4.22 eV per atom



[3]
Re5W8 | PBE | relaxed

Cell and atoms, written as POSCAR:
```
Re5W8
1.0
7.0960 -1.5129 6.4130
7.4621 -5.3694 3.0423
9.4605 -0.7756 1.9149
Re W
5 8
Direct
0.0000 0.0000 0.0000
0.1665 0.1665 0.1665
0.4548 0.4548 0.4548
0.5452 0.5452 0.5452
0.8335 0.8335 0.8335
0.5851 0.0880 0.0880
0.0880 0.5851 0.0880
0.3462 0.3462 0.3462
0.9120 0.9120 0.4149
0.0880 0.0880 0.5851
0.6538 0.6538 0.6538
0.9120 0.4149 0.9120
0.4149 0.9120 0.9120
```

## Properties
Symmetry ... R-3m (166)
Calculated volume ... 211 Å³/cell
Uncorrected energy ... -12.45 eV per atom



Size of the total moment: 0.03, 0.00, 0.01 (μB per formula unit)
Ρ: 5.78, 10.27, 18.95 (g/cm3)